First-principles (GGA+U) data for crystalline YMnAgF6 at its relaxed geometry, as listed in Alexandria via LeMat-Bulk.

Calculated values
The size of the total moment is 0.5507 μB per atom. The calculation puts the uncorrected energy at -0.443 Ry/atom.

a b c (Å): 5.2770 5.2770 10.5308
angles (deg): 90.00 90.00 90.00
With the nearest neighbours (Å) after each atom.
Fractional positions:
Y: 0.5000 0.5000 0.8308  6 F 2.20-2.23
F: 0.6758 0.6758 0.0018  1 Mn 2.19, 1 Y 2.23, 1 Ag 2.42
F: 0.7934 0.2066 0.8108  1 Mn 2.15, 1 Y 2.20
F: 0.7848 0.2152 0.1881  1 Mn 2.14, 1 Y 2.20
F: 0.3242 0.3242 0.0018  1 Mn 2.19, 1 Y 2.23, 1 Ag 2.42
Ag: 0.5000 0.5000 0.4999  6 F 2.42-2.55
F: 0.2934 0.2934 0.3108  1 Mn 2.15, 1 Y 2.20
Y: 0.0000 0.0000 0.3308  6 F 2.20-2.23
F: 0.2848 0.2848 0.6881  1 Mn 2.14, 1 Y 2.20
Ag: 0.0000 0.0000 0.9999  6 F 2.42-2.55
F: 0.7066 0.7066 0.3108  1 Mn 2.15, 1 Y 2.20
Mn: 0.0000 0.0000 0.6679  6 F 2.14-2.19
F: 0.2152 0.7848 0.1881  1 Mn 2.14, 1 Y 2.20
F: 0.7152 0.7152 0.6881  1 Mn 2.14, 1 Y 2.20
F: 0.1758 0.8242 0.5018  1 Mn 2.19, 1 Y 2.23, 1 Ag 2.42
Mn: 0.5000 0.5000 0.1679  6 F 2.14-2.19
F: 0.8242 0.1758 0.5018  1 Mn 2.19, 1 Y 2.23, 1 Ag 2.42
F: 0.2066 0.7934 0.8108  1 Mn 2.15, 1 Y 2.20